# Li2Co2F7

A geometry-optimized Li2Co2F7 structure (GGA+U, Alexandria).

Cell: 5.0934 4.9537 4.9537 Å, 96.11 90.61 90.61°
Last column: magnetic moment on the atom in μB.
Element x y z (fractional)
1 F 0.8153 0.5480 0.5480  0.10
2 Li 0.4970 0.7045 0.7045  0.00
3 F 0.8047 0.0350 0.4686  0.11
4 F 0.2751 0.4522 0.4522  0.10
5 Co 0.0454 0.2693 0.7307  3.06
6 F 0.2866 0.5310 0.9652  0.11
7 Li 0.5937 0.2959 0.2959  0.00
8 F 0.0456 0.9997 0.9997  0.15
9 F 0.2866 0.9652 0.5310  0.11
10 F 0.8046 0.4686 0.0350  0.11
11 Co 0.0454 0.7307 0.2693  3.06

Properties
The energy comes out at -4.72 eV/atom. Its crystal system is monoclinic. As for the symmetry: No. 12.